# 1
DFT (PBE-GGA) results for a relaxed structure of Al2TlI2.

abc: 9.1569 9.1569 4.1776
angles: 90.00 90.00 90.00
Last column: nearest neighbours and their distance in Å.
Fractional coordinates of all 10 atoms:
Al1 0.1687 0.3313 0.0000  2 I 3.10
Al2 0.3313 0.8313 0.0000  2 I 3.10
Al3 0.6687 0.1687 0.0000  2 I 3.10
Al4 0.8313 0.6687 0.0000  2 I 3.10
Tl1 0.0000 0.0000 0.5000  4 I 3.47
Tl2 0.5000 0.5000 0.5000  4 I 3.47
I1 0.1544 0.6544 0.5000  2 Al 3.10, 2 Tl 3.47
I2 0.3456 0.1544 0.5000  2 Al 3.10, 2 Tl 3.47
I3 0.6544 0.8456 0.5000  2 Al 3.10, 2 Tl 3.47
I4 0.8456 0.3456 0.5000  2 Al 3.10, 2 Tl 3.47

E above lowest polymorph = 288 meV/atom
N(E_F) = 0.42 states/eV per atom
Calculated volume = 350.3 Å³ per cell
Calculated density = 4.9 Mg/m³

# 2
DFT (PBE-GGA) results for a relaxed structure of Ce2In2PRh4.

abc: 6.3284 6.3284 6.3284
angles: 119.76 119.76 90.41
Last column: nearest neighbours and their distance in Å.
Fractional coordinates of all 9 atoms:
Ce1 0.1984 0.1984 0.0000  1 P 2.69, 4 Rh 2.78
Ce2 0.8016 0.8016 0.0000  1 P 2.69, 4 Rh 2.78
In1 0.2500 0.7500 0.5000  8 Rh 3.17, 4 Ce 3.21
In2 0.7500 0.2500 0.5000  8 Rh 3.17, 4 Ce 3.21
P1 0.5000 0.5000 0.0000  4 Rh 2.35
Rh1 0.2386 0.2386 0.4772  1 P 2.35
Rh2 0.2386 0.7614 0.0000  1 P 2.35
Rh3 0.7614 0.2386 0.0000  1 P 2.35
Rh4 0.7614 0.7614 0.5228  1 P 2.35

N(E_F) = 1.18 states/eV per atom
Formation energy = -0.411 eV per atom
Calculated volume = 179.8 Å³ per cell
Calculated density = 8.8 Mg/m³

# 3
DFT (PBE-GGA) results for a relaxed structure of Pr5Sm4In.

abc: 8.1804 8.1804 8.1804
angles: 98.08 98.08 135.96
Last column: nearest neighbours and their distance in Å.
Fractional coordinates of all 10 atoms:
Pr1 0.0000 0.0000 0.0000  2 In 2.93-3.20
Pr2 0.0938 0.0938 0.6241  1 In 3.21, 1 Pr 3.33, 2 Sm 3.35
Pr3 0.0938 0.4697 0.0000  1 In 3.21, 1 Pr 3.33, 2 Sm 3.35
Pr4 0.4697 0.0938 0.0000  1 In 3.21, 1 Pr 3.33, 2 Sm 3.35
Pr5 0.4697 0.4697 0.3759  1 In 3.21, 1 Pr 3.33, 2 Sm 3.35
Sm1 0.1015 0.7874 0.3141  3 Pr 3.35-3.61, 1 In 3.74
Sm2 0.4733 0.7874 0.6859  3 Pr 3.35-3.61, 1 In 3.74
Sm3 0.7874 0.1015 0.3141  3 Pr 3.35-3.61, 1 In 3.74
Sm4 0.7874 0.4733 0.6859  3 Pr 3.35-3.61, 1 In 3.74
In1 0.5216 0.5216 0.0000  6 Pr 2.93-3.21

E above lowest polymorph = 116 meV/atom
N(E_F) = 1.37 states/eV per atom
Formation energy = 0.109 eV per atom
Calculated volume = 352.8 Å³ per cell
Calculated density = 6.7 Mg/m³